VASP calculation (PBE-GGA) on a relaxed structure of LiTl2AgSe4.

Values from the calculation:
E in eV for the cell shown: -53.42
Crystal system: tetragonal

Cell lengths 6.1549, 6.1549, 12.3057 Å; angles 90.00, 90.00, 90.00 degrees
Space group I-4 (No. 82)
Symmetry-distinct sites (fractional):
Li  0.0000  0.0000  0.0000 (multiplicity 2)
Tl  0.0000  0.0000  0.5000 (multiplicity 2)
Tl  0.0000  0.5000  0.7500 (multiplicity 2)
Ag  0.0000  0.5000  0.2500 (multiplicity 2)
Se  0.2356  0.2448  0.1226 (multiplicity 8)

VASP calculation (PBE-GGA) on a relaxed structure of CsGdFeTe3.

Values from the calculation:
Total magnetization in μB/f.u.: 4.01
E in eV for the cell shown: -109.00
Crystal system: monoclinic

Cell lengths 18.6660, 4.6429, 9.8922 Å; angles 90.00, 101.88, 90.00 degrees
Space group C2/m (No. 12)
Symmetry-distinct sites (fractional):
Cs  0.1532  0.0000  0.0597 (multiplicity 4)
Gd  0.1672  0.0000  0.5722 (multiplicity 4)
Fe  0.0006  0.5000  0.7241 (multiplicity 4)
Te  0.0000  0.0000  0.5000 (multiplicity 2)
Te  0.0000  0.5000  0.0000 (multiplicity 2)
Te  0.1490  0.5000  0.7667 (multiplicity 4)
Te  0.1610  0.5000  0.3566 (multiplicity 4)

VASP calculation (PBE-GGA) on a relaxed structure of GdHoSc2Sb2.

Values from the calculation:
Total magnetization in μB/f.u.: 0.94
E in eV for the cell shown: -70.28
Crystal system: tetragonal

Cell lengths 4.3526, 4.3526, 16.2984 Å; angles 90.00, 90.00, 90.00 degrees
Space group I4mm (No. 107)
Symmetry-distinct sites (fractional):
Gd  0.0000  0.0000  0.0000 (multiplicity 2)
Ho  0.0000  0.0000  0.6479 (multiplicity 2)
Sc  0.0000  0.5000  0.3233 (multiplicity 4)
Sb  0.0000  0.0000  0.1928 (multiplicity 2)
Sb  0.0000  0.0000  0.4544 (multiplicity 2)

VASP calculation (PBE-GGA) on a relaxed structure of Tm2ReAs5.

Values from the calculation:
Total magnetization in μB/f.u.: 1.38
E in eV for the cell shown: -42.10
Crystal system: tetragonal

Cell lengths 4.2428, 4.2428, 10.9300 Å; angles 90.00, 90.00, 90.00 degrees
Space group P4/mmm (No. 123)
Symmetry-distinct sites (fractional):
Tm  0.0000  0.0000  0.1563 (multiplicity 2)
Re  0.5000  0.5000  0.5000 (multiplicity 1)
As  0.0000  0.0000  0.5000 (multiplicity 1)
As  0.0000  0.5000  0.3377 (multiplicity 4)

VASP calculation (PBE-GGA) on a relaxed structure of Er2Lu3Hg3.

Values from the calculation:
Energy of formation in eV per atom: -0.175
Total magnetization in μB/f.u.: 0.03
Crystal system: orthorhombic

Cell lengths 5.5211, 7.0268, 10.8084 Å; angles 90.00, 90.00, 90.00 degrees
Space group Amm2 (No. 38)
Symmetry-distinct sites (fractional):
Er  0.0000  0.0000  0.0000 (multiplicity 2)
Er  0.5000  0.0000  0.3604 (multiplicity 2)
Lu  0.0000  0.0000  0.5414 (multiplicity 2)
Lu  0.5000  0.2432  0.6149 (multiplicity 4)
Hg  0.0000  0.2205  0.2666 (multiplicity 4)
Hg  0.5000  0.0000  0.8631 (multiplicity 2)

VASP calculation (PBE-GGA) on a relaxed structure of GaCoReMo.

Values from the calculation:
Total magnetization in μB/f.u.: 0.98
E in eV for the cell shown: -132.59
Crystal system: cubic

Cell lengths 6.0861, 6.0861, 6.0861 Å; angles 90.00, 90.00, 90.00 degrees
Space group F-43m (No. 216)
Symmetry-distinct sites (fractional):
Ga  0.0000  0.0000  0.0000 (multiplicity 4)
Co  0.2500  0.2500  0.2500 (multiplicity 4)
Re  0.2500  0.2500  0.7500 (multiplicity 4)
Mo  0.0000  0.0000  0.5000 (multiplicity 4)

VASP calculation (PBE-GGA) on a relaxed structure of Ho3Mg3Ag2Pt.

Values from the calculation:
Total magnetization in μB/f.u.: 0.01
E in eV for the cell shown: -34.51
Crystal system: hexagonal

Cell lengths 7.4922, 7.4922, 4.1962 Å; angles 90.00, 90.00, 120.00 degrees
Space group P-62m (No. 189)
Symmetry-distinct sites (fractional):
Ho  0.0000  0.3992  0.0000 (multiplicity 3)
Mg  0.0000  0.7593  0.5000 (multiplicity 3)
Ag  0.3333  0.6667  0.5000 (multiplicity 2)
Pt  0.0000  0.0000  0.0000 (multiplicity 1)

VASP calculation (PBE-GGA) on a relaxed structure of PrMo6Se8.

Values from the calculation:
Total magnetization in μB/f.u.: 0.00
E in eV for the cell shown: -325.66
Crystal system: trigonal

Cell lengths 9.5028, 9.5028, 12.0684 Å; angles 90.00, 90.00, 120.00 degrees
Space group R-3 (No. 148, hexagonal axes)
Symmetry-distinct sites (fractional):
Pr  0.0000  0.0000  0.0000 (multiplicity 3)
Mo  0.0163  0.1711  0.4067 (multiplicity 18)
Se  0.0000  0.0000  0.2418 (multiplicity 6)
Se  0.0044  0.6301  0.7508 (multiplicity 18)

Q: Which formula does entry 4 have?
A: Tm2ReAs5